1.
The following is a DFT calculation (PBE) of CePt8Au3 after structural relaxation.

Computed properties:
- Crystal system: trigonal
- E_tot: -67.23 eV per formula unit

Cell: 5.3529 5.3529 26.2146 Å, 90.00 90.00 120.00°
Space group R3m (No. 160, hexagonal axes)
Asymmetric unit:
Ce: 0.0000 0.0000 0.0000 x3
Pt: 0.0000 0.0000 0.1878 x3
Pt: 0.0000 0.0000 0.6874 x3
Pt: 0.0003 0.5001 0.4376 x9
Pt: 0.0008 0.5004 0.9377 x9
Au: 0.0000 0.0000 0.3896 x3
Au: 0.0000 0.0000 0.5050 x3
Au: 0.0000 0.0000 0.8721 x3


2.
The following is a DFT calculation (PBE) of Ce3Pt2Au after structural relaxation.

Computed properties:
- Crystal system: orthorhombic
- E_tot: -36.44 eV per formula unit

Cell: 3.442 5.467 16.241 Å, 90.00 90.00 90.00°
Space group Immm (No. 71)
Asymmetric unit:
Ce: 0.000 0.000 0.000 x2
Ce: 0.000 0.500 0.181 x4
Pt: 0.000 0.500 0.349 x4
Au: 0.000 0.500 0.000 x2


3.
The following is a DFT calculation (PBE) of Ce6PtAu after structural relaxation.

Computed properties:
- Crystal system: monoclinic
- E_tot: -47.31 eV per formula unit

Cell: 12.931 5.182 7.628 Å, 90.00 122.73 90.00°
Space group C2/m (No. 12)
Asymmetric unit:
Ce: 0.123 0.000 0.465 x4
Ce: 0.132 0.500 0.283 x4
Ce: 0.228 0.500 0.866 x4
Pt: 0.000 0.500 0.500 x2
Au: 0.000 0.000 0.000 x2


4.
The following is a DFT calculation (PBE) of Ce4PtAu3 after structural relaxation.

Computed properties:
- Crystal system: orthorhombic
- E_tot: -45.51 eV per formula unit

Cell: 3.874 4.676 11.254 Å, 90.00 90.00 90.00°
Space group Pmm2 (No. 25)
Asymmetric unit:
Ce: 0.000 0.000 0.000 x1
Ce: 0.000 0.500 0.266 x1
Ce: 0.500 0.000 0.482 x1
Ce: 0.500 0.500 0.769 x1
Pt: 0.500 0.000 0.222 x1
Au: 0.000 0.000 0.717 x1
Au: 0.000 0.500 0.542 x1
Au: 0.500 0.500 0.043 x1


5.
The following is a DFT calculation (PBE) of Ce3Pt4Au2 after structural relaxation.

Computed properties:
- Crystal system: monoclinic
- E_tot: -56.33 eV per formula unit

Cell: 12.074 4.105 9.306 Å, 90.00 120.65 90.00°
Space group C2/m (No. 12)
Asymmetric unit:
Ce: 0.000 0.000 0.000 x2
Ce: 0.143 0.500 0.694 x4
Pt: 0.061 0.000 0.413 x4
Pt: 0.201 0.500 0.052 x4
Au: 0.154 0.500 0.312 x4


6.
The following is a DFT calculation (PBE) of Ce8Pt3Au2 after structural relaxation.

Computed properties:
- Crystal system: monoclinic
- E_tot: -78.71 eV per formula unit

Cell: 15.946 7.371 6.955 Å, 90.00 110.37 90.00°
Space group C2/m (No. 12)
Asymmetric unit:
Ce: 0.097 0.000 0.418 x4
Ce: 0.115 0.260 0.918 x8
Ce: 0.178 0.500 0.544 x4
Pt: 0.000 0.000 0.000 x2
Pt: 0.000 0.308 0.500 x4
Au: 0.242 0.000 0.811 x4


7.
The following is a DFT calculation (PBE) of Ce2Pt6Au after structural relaxation.

Computed properties:
- Crystal system: monoclinic
- E_tot: -58.12 eV per formula unit

Cell: 9.736 5.623 6.416 Å, 90.00 90.10 90.00°
Space group C2/m (No. 12)
Asymmetric unit:
Ce: 0.167 0.000 0.331 x4
Pt: 0.087 0.240 0.827 x8
Pt: 0.173 0.500 0.174 x4
Au: 0.000 0.500 0.500 x2


8.
The following is a DFT calculation (PBE) of Ce5PtAu2 after structural relaxation.

Computed properties:
- Crystal system: orthorhombic
- E_tot: -46.63 eV per formula unit

Cell: 7.296 11.959 4.779 Å, 90.00 90.00 90.00°
Space group Pbam (No. 55)
Asymmetric unit:
Ce: 0.000 0.000 0.000 x2
Ce: 0.124 0.279 0.000 x4
Ce: 0.226 0.555 0.500 x4
Pt: 0.000 0.500 0.000 x2
Au: 0.108 0.812 0.500 x4


9.
The following is a DFT calculation (PBE) of Ce3PtAu after structural relaxation.

Computed properties:
- Crystal system: monoclinic
- E_tot: -29.95 eV per formula unit

Cell: 5.431 5.971 8.716 Å, 90.00 90.07 90.00°
Space group P2_1/m (No. 11)
Asymmetric unit:
Ce: 0.000 0.000 0.000 x2
Ce: 0.001 0.250 0.354 x2
Ce: 0.499 0.250 0.746 x2
Pt: 0.001 0.750 0.317 x2
Au: 0.500 0.250 0.125 x2


10.
The following is a DFT calculation (PBE) of Ce6Pt3Au after structural relaxation.

Computed properties:
- Crystal system: monoclinic
- E_tot: -63.84 eV per formula unit

Cell: 10.863 3.918 13.181 Å, 90.00 110.21 90.00°
Space group P2_1/m (No. 11)
Asymmetric unit:
Ce: 0.030 0.250 0.380 x2
Ce: 0.069 0.250 0.900 x2
Ce: 0.243 0.750 0.321 x2
Ce: 0.317 0.750 0.787 x2
Ce: 0.339 0.750 0.090 x2
Ce: 0.384 0.250 0.546 x2
Pt: 0.139 0.250 0.142 x2
Pt: 0.183 0.750 0.542 x2
Pt: 0.391 0.250 0.952 x2
Au: 0.442 0.250 0.290 x2


11.
The following is a DFT calculation (PBE) of Ce4Pt2Au5 after structural relaxation.

Computed properties:
- Crystal system: monoclinic
- E_tot: -60.77 eV per formula unit

Cell: 7.536 3.767 9.117 Å, 90.00 92.48 90.00°
Space group P2/m (No. 10)
Asymmetric unit:
Ce: 0.209 0.000 0.359 x2
Ce: 0.238 0.000 0.912 x2
Pt: 0.073 0.500 0.142 x2
Au: 0.154 0.500 0.624 x2
Au: 0.450 0.500 0.160 x2
Au: 0.500 0.500 0.500 x1


12.
The following is a DFT calculation (PBE) of CePtAu4 after structural relaxation.

Computed properties:
- Crystal system: cubic
- E_tot: -27.37 eV per formula unit

Cell: 7.821 7.821 7.821 Å, 90.00 90.00 90.00°
Space group F-43m (No. 216)
Asymmetric unit:
Ce: 0.000 0.000 0.000 x4
Pt: 0.250 0.250 0.250 x4
Au: 0.125 0.125 0.625 x16


13.
The following is a DFT calculation (PBE) of Ce2Pt5Au after structural relaxation.

Computed properties:
- Crystal system: tetragonal
- E_tot: -52.19 eV per formula unit

Cell: 6.005 6.005 8.288 Å, 90.00 90.00 90.00°
Space group I4/mmm (No. 139)
Asymmetric unit:
Ce: 0.000 0.500 0.000 x4
Pt: 0.000 0.000 0.000 x2
Pt: 0.250 0.250 0.250 x8
Au: 0.000 0.000 0.500 x2


14.
The following is a DFT calculation (PBE) of CePt2Au after structural relaxation.

Computed properties:
- Crystal system: trigonal
- E_tot: -24.15 eV per formula unit

Cell: 4.6686 4.6686 12.8691 Å, 90.00 90.00 120.00°
Space group R-3m (No. 166, hexagonal axes)
Asymmetric unit:
Ce: 0.0000 0.0000 0.0000 x3
Pt: 0.0000 0.0000 0.2234 x6
Au: 0.0000 0.0000 0.5000 x3


15.
The following is a DFT calculation (PBE) of Ce6Pt3Au after structural relaxation.

Computed properties:
- Crystal system: monoclinic
- E_tot: -63.37 eV per formula unit

Cell: 7.156 7.606 12.111 Å, 90.00 121.90 90.00°
Space group P2_1/c (No. 14)
Asymmetric unit:
Ce: 0.060 0.073 0.250 x4
Ce: 0.233 0.671 0.088 x4
Ce: 0.398 0.166 0.076 x4
Pt: 0.000 0.000 0.000 x2
Pt: 0.325 0.124 0.779 x4
Au: 0.500 0.000 0.500 x2


16.
The following is a DFT calculation (PBE) of CePt2Au3 after structural relaxation.

Computed properties:
- Crystal system: orthorhombic
- E_tot: -31.38 eV per formula unit

Cell: 5.481 5.529 7.702 Å, 90.00 90.00 90.00°
Space group Imm2 (No. 44)
Asymmetric unit:
Ce: 0.000 0.000 0.000 x2
Pt: 0.000 0.249 0.366 x4
Au: 0.000 0.500 0.741 x2
Au: 0.249 0.000 0.615 x4


17.
The following is a DFT calculation (PBE) of CePtAu2 after structural relaxation.

Computed properties:
- Crystal system: cubic
- E_tot: -20.76 eV per formula unit

Cell: 6.912 6.912 6.912 Å, 90.00 90.00 90.00°
Space group Fm-3m (No. 225)
Asymmetric unit:
Ce: 0.000 0.000 0.000 x4
Pt: 0.000 0.000 0.500 x4
Au: 0.250 0.250 0.250 x8


18.
The following is a DFT calculation (PBE) of CePt4Au after structural relaxation.

Computed properties:
- Crystal system: cubic
- E_tot: -37.96 eV per formula unit

Cell: 7.608 7.608 7.608 Å, 90.00 90.00 90.00°
Space group F-43m (No. 216)
Asymmetric unit:
Ce: 0.000 0.000 0.000 x4
Pt: 0.125 0.125 0.375 x16
Au: 0.250 0.250 0.750 x4


19.
The following is a DFT calculation (PBE) of Ce3PtAu4 after structural relaxation.

Computed properties:
- Crystal system: monoclinic
- E_tot: -42.79 eV per formula unit

Cell: 8.205 4.746 9.996 Å, 90.00 105.97 90.00°
Space group C2/m (No. 12)
Asymmetric unit:
Ce: 0.000 0.000 0.000 x2
Ce: 0.120 0.000 0.359 x4
Pt: 0.000 0.500 0.500 x2
Au: 0.105 0.500 0.815 x4
Au: 0.227 0.500 0.179 x4


20.
The following is a DFT calculation (PBE) of CePt2Au2 after structural relaxation.

Computed properties:
- Crystal system: tetragonal
- E_tot: -27.12 eV per formula unit

Cell: 3.965 3.965 26.273 Å, 90.00 90.00 90.00°
Space group I4/mmm (No. 139)
Asymmetric unit:
Ce: 0.000 0.000 0.119 x4
Pt: 0.000 0.000 0.423 x4
Pt: 0.000 0.500 0.250 x4
Au: 0.000 0.000 0.323 x4
Au: 0.000 0.500 0.000 x4


21.
The following is a DFT calculation (PBE) of Ce2Pt3Au after structural relaxation.

Computed properties:
- Crystal system: orthorhombic
- E_tot: -38.43 eV per formula unit

Cell: 7.235 9.988 14.692 Å, 90.00 90.00 90.00°
Space group Fmmm (No. 69)
Asymmetric unit:
Ce: 0.245 0.000 0.000 x8
Ce: 0.250 0.250 0.250 x8
Pt: 0.000 0.000 0.357 x8
Pt: 0.000 0.243 0.093 x16
Au: 0.000 0.000 0.173 x8


22.
The following is a DFT calculation (PBE) of Ce3Pt2Au after structural relaxation.

Computed properties:
- Crystal system: orthorhombic
- E_tot: -37.20 eV per formula unit

Cell: 4.740 13.616 9.473 Å, 90.00 90.00 90.00°
Space group Cmcm (No. 63)
Asymmetric unit:
Ce: 0.000 0.129 0.250 x4
Ce: 0.000 0.367 0.043 x8
Pt: 0.000 0.000 0.000 x4
Pt: 0.000 0.477 0.750 x4
Au: 0.000 0.221 0.750 x4